VASP calculation (PBEsol) on an optimized crystal structure of TaBeRu2.

**Formation enthalpy at 0 K**: 8.1 meV/atom
**VASP energy**: -9.216 eV per atom
**Total magnetization**: 0.0 μB/f.u.

a = 2.714 Å, b = 4.870 Å, c = 4.927 Å
α = 118.31°, β = 103.86°, γ = 94.16°
Fractional positions:
Ru 0.000 0.000 0.500
Ru 0.500 0.500 0.500
Be 0.000 0.500 0.000
Ta 0.500 0.000 0.000